ZrScCr4: PBEsol geometry, SCAN.

Geometry as POSCAR:
```
ZrScCr4
1.0
0.000 3.506 3.506
3.506 0.000 3.506
3.506 3.506 0.000
Zr Sc Cr
1 1 4
Direct
0.000 0.000 0.000
0.250 0.250 0.250
0.125 0.625 0.625
0.625 0.125 0.625
0.625 0.625 0.125
0.625 0.625 0.625
```

## Properties
Its space group is No. 216. The energy of formation is 0.6 eV/f.u. The density of states at the Fermi level comes out at 1.025 states/eV/atom. As for the total energy: -19.654 eV per atom.

=====

ZrScCr: PBEsol geometry, SCAN.

Geometry as POSCAR:
```
ZrScCr
1.0
-1.615 1.615 5.382
1.615 -1.615 5.382
1.615 1.615 -5.382
Zr Sc Cr
1 1 1
Direct
0.000 0.000 0.000
0.720 0.720 0.000
0.372 0.372 0.000
```

## Properties
Its space group is No. 107. The energy of formation is 0.5 eV/f.u. The density of states at the Fermi level comes out at 0.970 states/eV/atom. As for the total energy: -20.943 eV per atom.

=====

Repeat the second record exactly.
ZrScCr: PBEsol geometry, SCAN.

Geometry as POSCAR:
```
ZrScCr
1.0
-1.615 1.615 5.382
1.615 -1.615 5.382
1.615 1.615 -5.382
Zr Sc Cr
1 1 1
Direct
0.000 0.000 0.000
0.720 0.720 0.000
0.372 0.372 0.000
```

## Properties
Its space group is No. 107. The energy of formation is 0.5 eV/f.u. The density of states at the Fermi level comes out at 0.970 states/eV/atom. As for the total energy: -20.943 eV per atom.

=====

- energy of formation of number 2 (ZrScCr)?
  0.5 eV/f.u.

=====

Repeat the second record exactly.
ZrScCr: PBEsol geometry, SCAN.

Geometry as POSCAR:
```
ZrScCr
1.0
-1.615 1.615 5.382
1.615 -1.615 5.382
1.615 1.615 -5.382
Zr Sc Cr
1 1 1
Direct
0.000 0.000 0.000
0.720 0.720 0.000
0.372 0.372 0.000
```

## Properties
Its space group is No. 107. The energy of formation is 0.5 eV/f.u. The density of states at the Fermi level comes out at 0.970 states/eV/atom. As for the total energy: -20.943 eV per atom.

=====

- Look up the energy of formation of the first one.
  0.6 eV/f.u.